VASP calculation (GGA-PBE) on MgAg2Pb after structural relaxation.

Cell and atoms, written as POSCAR:
```
MgAg2Pb
1.0
5.315 -0.059 -0.021
1.637 5.057 0.021
-3.461 -2.520 3.151
Ag Mg Pb
2 1 1
direct
0.000 0.000 0.000
0.500 0.500 0.000
0.750 0.250 0.500
0.250 0.750 0.500
```

Values from the calculation:
- Energy of formation: -28 meV per atom
- Space-group type: No. 139